(1)
# Mo3C

Crystalline Mo3C at its relaxed geometry (PBEsol, Alexandria via LeMat-Bulk).

Cell: 4.168 4.168 3.075 Å, 90.00 90.00 103.93°
Fractional positions:
Mo  0.000  0.000  0.000
Mo  0.000  0.500  0.500
Mo  0.500  0.000  0.500
C  0.500  0.500  0.000

## Properties
Space-group type   No. 65
Magnetic moment   0.00 μB/f.u.
Calculated volume   52 Å³ per cell
Energy above the most stable polymorph in this dataset   554 meV per atom

=====

(2)
# MoC3

Crystalline MoC3 at its relaxed geometry (PBEsol, Alexandria via LeMat-Bulk).

Cell: 7.505 7.505 2.518 Å, 90.00 90.00 147.69°
Fractional positions:
Mo  0.089  0.911  0.750
Mo  0.911  0.089  0.250
C  0.073  0.589  0.750
C  0.411  0.927  0.750
C  0.475  0.525  0.250
C  0.525  0.475  0.750
C  0.589  0.073  0.250
C  0.927  0.411  0.250

## Properties
Space-group type   No. 63
Magnetic moment   0.00 μB/f.u.
Calculated volume   76 Å³ per cell
Energy above the most stable polymorph in this dataset   0 meV per atom

=====

(3)
# Mo3C

Crystalline Mo3C at its relaxed geometry (PBEsol, Alexandria via LeMat-Bulk).

Cell: 4.671 4.671 4.640 Å, 117.89 117.89 36.59°
Fractional positions:
Mo  0.000  0.000  0.000
Mo  0.191  0.191  0.692
Mo  0.809  0.809  0.308
C  0.500  0.500  0.500

## Properties
Space-group type   No. 12
Magnetic moment   0.00 μB/f.u.
Calculated volume   53 Å³ per cell
Energy above the most stable polymorph in this dataset   0 meV per atom

=====

(4)
# MoC3

Crystalline MoC3 at its relaxed geometry (PBEsol, Alexandria via LeMat-Bulk).

Cell: 3.873 3.873 3.873 Å, 141.78 117.52 75.65°
Fractional positions:
Mo  0.000  0.000  0.000
C  0.320  0.820  0.500
C  0.500  0.500  0.000
C  0.680  0.180  0.500

## Properties
Space-group type   No. 71
Magnetic moment   0.00 μB/f.u.
Calculated volume   31 Å³ per cell
Energy above the most stable polymorph in this dataset   842 meV per atom

=====

(5)
# MoCN2

Crystalline MoCN2 at its relaxed geometry (PBEsol, Alexandria via LeMat-Bulk).

Cell: 5.602 5.602 5.602 Å, 29.28 29.28 29.28°
Fractional positions:
Mo  0.000  0.000  0.000
C  0.500  0.500  0.500
N  0.422  0.422  0.422
N  0.578  0.578  0.578

## Properties
Space-group type   No. 166
Formation energy from raw total energies   0.0269 eV/atom
Magnetic moment   0.00 μB/f.u.
Calculated volume   37 Å³ per cell

=====

(6)
# Na2MoC3SeN3

Crystalline Na2MoC3SeN3 at its relaxed geometry (PBEsol, Alexandria via LeMat-Bulk).

Cell: 12.155 12.155 12.155 Å, 101.99 101.99 125.76°
Fractional positions:
Na  0.000  0.357  0.357
Na  0.000  0.643  0.643
Na  0.272  0.391  0.618
Na  0.272  0.654  0.882
Na  0.346  0.728  0.618
Na  0.357  0.000  0.857
Na  0.357  0.500  0.357
Na  0.391  0.272  0.118
Na  0.500  0.357  0.857
Na  0.500  0.643  0.143
Na  0.609  0.728  0.882
Na  0.643  0.000  0.143
Na  0.643  0.500  0.643
Na  0.654  0.272  0.382
Na  0.728  0.346  0.118
Na  0.728  0.609  0.382
Mo  0.063  0.219  0.845
Mo  0.126  0.781  0.345
Mo  0.219  0.063  0.345
Mo  0.219  0.874  0.155
Mo  0.781  0.126  0.845
Mo  0.781  0.937  0.655
Mo  0.874  0.219  0.655
Mo  0.937  0.781  0.155
C  0.051  0.407  0.644
C  0.157  0.194  0.364
C  0.157  0.793  0.964
C  0.194  0.157  0.864
C  0.194  0.330  0.036
C  0.207  0.670  0.364
C  0.207  0.843  0.536
C  0.263  0.407  0.856
C  0.330  0.194  0.536
C  0.330  0.793  0.136
C  0.407  0.051  0.144
C  0.407  0.263  0.356
C  0.593  0.737  0.644
C  0.593  0.949  0.856
C  0.670  0.207  0.864
C  0.670  0.806  0.464
C  0.737  0.593  0.144
C  0.793  0.157  0.464
C  0.793  0.330  0.636
C  0.806  0.670  0.964
C  0.806  0.843  0.136
C  0.843  0.207  0.036
C  0.843  0.806  0.636
C  0.949  0.593  0.356
Se  0.000  0.117  0.617
Se  0.000  0.382  0.883
Se  0.000  0.618  0.117
Se  0.000  0.883  0.383
Se  0.117  0.000  0.117
Se  0.382  0.000  0.383
Se  0.618  0.000  0.617
Se  0.883  0.000  0.883
N  0.143  0.282  0.387
N  0.143  0.755  0.860
N  0.145  0.513  0.632
N  0.245  0.605  0.387
N  0.245  0.857  0.640
N  0.282  0.143  0.887
N  0.282  0.395  0.140
N  0.380  0.513  0.868
N  0.395  0.282  0.640
N  0.395  0.755  0.113
N  0.487  0.620  0.632
N  0.487  0.855  0.868
N  0.513  0.145  0.132
N  0.513  0.380  0.368
N  0.605  0.245  0.887
N  0.605  0.718  0.360
N  0.620  0.487  0.132
N  0.718  0.605  0.860
N  0.718  0.857  0.113
N  0.755  0.143  0.360
N  0.755  0.395  0.613
N  0.855  0.487  0.368
N  0.857  0.245  0.140
N  0.857  0.718  0.613

## Properties
Space-group type   No. 141
Formation energy from raw total energies   -0.2960 eV/atom
Magnetic moment   0.00 μB/f.u.
Calculated volume   1297 Å³ per cell

=====

(7)
# Ni4Mo6CN

Crystalline Ni4Mo6CN at its relaxed geometry (PBEsol, Alexandria via LeMat-Bulk).

Cell: 6.590 6.590 6.586 Å, 90.00 90.00 90.16°
Fractional positions:
Ni  0.067  0.682  0.692
Ni  0.184  0.433  0.442
Ni  0.318  0.933  0.808
Ni  0.433  0.184  0.558
Ni  0.567  0.816  0.058
Ni  0.682  0.067  0.308
Ni  0.816  0.567  0.942
Ni  0.933  0.318  0.192
Mo  0.051  0.051  0.500
Mo  0.126  0.298  0.825
Mo  0.199  0.624  0.075
Mo  0.298  0.126  0.175
Mo  0.376  0.801  0.425
Mo  0.452  0.548  0.750
Mo  0.548  0.452  0.250
Mo  0.624  0.199  0.925
Mo  0.702  0.874  0.675
Mo  0.801  0.376  0.575
Mo  0.874  0.702  0.325
Mo  0.949  0.949  0.000
C  0.127  0.873  0.250
C  0.873  0.127  0.750
N  0.377  0.377  0.000
N  0.623  0.623  0.500

## Properties
Space-group type   No. 20
Formation energy from raw total energies   -0.2495 eV/atom
Magnetic moment   0.00 μB/f.u.
Calculated volume   286 Å³ per cell

=====

(8)
# MoCSN2

Crystalline MoCSN2 at its relaxed geometry (PBEsol, Alexandria via LeMat-Bulk).

Cell: 3.520 3.520 3.701 Å, 90.00 90.00 90.00°
Fractional positions:
Mo  0.000  0.000  0.000
C  0.500  0.500  0.500
S  0.500  0.500  0.000
N  0.000  0.500  0.500
N  0.500  0.000  0.500

## Properties
Space-group type   No. 123
Formation energy from raw total energies   1.7086 eV/atom
Magnetic moment   0.02 μB/f.u.
Calculated volume   46 Å³ per cell

=====

Taking the records one at a time from the top gives DOS at the Fermi energy values of 2.4 4.2 2.9 1.8 1.4 0.0 18.5 3.0 states/eV/cell.